The following is a DFT calculation (GGA-PBE) of a geometry-optimized Cs2Rb2Cd structure.

POSCAR file:
```
Cs2Rb2Cd
1.0
10.188 0.000 0.000
0.000 10.188 0.000
0.000 0.000 8.048
Cs Rb Cd
4 4 2
Cartesian
1.841 3.253 0.000
3.253 8.347 0.000
6.936 1.841 0.000
8.347 6.936 0.000
1.598 6.693 4.024
3.496 1.598 4.024
6.693 8.590 4.024
8.590 3.496 4.024
0.000 0.000 4.024
5.094 5.094 4.024
```

## Properties
E_form: 64.3 meV/atom



The following is a DFT calculation (GGA-PBE) of a geometry-optimized Ti2TcHAu structure.

POSCAR file:
```
Ti2TcHAu
1.0
4.202 0.000 0.000
0.000 4.202 0.000
0.000 0.000 3.719
Ti Tc H Au
2 1 1 1
Cartesian
0.000 2.101 0.000
2.101 0.000 0.000
0.000 0.000 1.860
0.000 0.000 0.000
2.101 2.101 1.860
```

## Properties
Raw total energy: -6.9150 eV/atom



The following is a DFT calculation (GGA-PBE) of a geometry-optimized Pr6SiSe5 structure.

POSCAR file:
```
Pr6SiSe5
1.0
3.703 -6.424 0.000
3.703 6.424 0.000
-2.474 0.000 7.015
Pr Si Se
6 1 5
Cartesian
-0.047 2.064 5.210
1.149 0.000 1.819
-0.047 -2.064 5.210
4.978 2.064 1.805
3.783 0.000 5.196
4.978 -2.064 1.805
-1.237 0.000 3.508
3.703 4.263 0.000
2.466 2.144 3.508
3.703 0.000 0.000
2.466 -2.144 3.508
3.703 -4.263 0.000
```

## Properties
Raw total energy: -6.0032 eV/atom



The following is a DFT calculation (GGA-PBE) of a geometry-optimized K2Tc structure.

POSCAR file:
```
K2Tc
1.0
-1.468 1.468 9.840
1.468 -1.468 9.840
1.468 1.468 -9.840
K Tc
2 1
Cartesian
0.000 0.000 2.710
0.000 0.000 16.970
0.000 0.000 9.840
```

## Properties
E_form: 1348.8 meV/atom



The following is a DFT calculation (GGA-PBE) of a geometry-optimized Li2CoAs structure.

POSCAR file:
```
Li2CoAs
1.0
2.817 0.000 0.000
0.000 4.046 0.000
0.000 0.000 4.728
Li Co As
2 1 1
Cartesian
0.000 0.000 1.169
0.000 0.000 3.559
1.409 2.023 0.000
1.409 2.023 2.364
```

## Properties
E_form: -125.5 meV/atom



The following is a DFT calculation (GGA-PBE) of a geometry-optimized Ge2Os2N structure.

POSCAR file:
```
Ge2Os2N
1.0
-1.793 1.793 5.977
1.793 -1.793 5.977
1.793 1.793 -5.977
Ge Os N
2 2 1
Cartesian
1.793 0.000 2.988
0.000 1.793 2.988
0.000 0.000 1.271
0.000 0.000 10.683
0.000 0.000 5.977
```

## Properties
Raw total energy: -6.5955 eV/atom



The following is a DFT calculation (GGA-PBE) of a geometry-optimized Sn2Pt2Pb structure.

POSCAR file:
```
Sn2Pt2Pb
1.0
-2.313 2.313 5.525
2.313 -2.313 5.525
2.313 2.313 -5.525
Sn Pt Pb
2 2 1
Cartesian
2.313 0.000 2.762
0.000 2.313 2.762
0.000 0.000 1.360
0.000 0.000 9.690
0.000 0.000 5.525
```

## Properties
E_form: -237.0 meV/atom



The following is a DFT calculation (GGA-PBE) of a geometry-optimized PrSc2Cd3 structure.

POSCAR file:
```
PrSc2Cd3
1.0
3.609 0.000 0.000
0.000 3.609 0.000
0.000 0.000 11.224
Pr Sc Cd
1 2 3
Cartesian
0.000 0.000 0.000
0.000 0.000 3.879
0.000 0.000 7.345
1.805 1.805 2.213
1.805 1.805 5.612
1.805 1.805 9.012
```

## Properties
E_form: -288.5 meV/atom



Repeat the fourth record exactly.
The following is a DFT calculation (GGA-PBE) of a geometry-optimized K2Tc structure.

POSCAR file:
```
K2Tc
1.0
-1.468 1.468 9.840
1.468 -1.468 9.840
1.468 1.468 -9.840
K Tc
2 1
Cartesian
0.000 0.000 2.710
0.000 0.000 16.970
0.000 0.000 9.840
```

## Properties
E_form: 1348.8 meV/atom